Record 1
VASP calculation (PBE) on a geometry-optimized TlPdNO structure.

Properties
As for the space-group type: P4/nmm, No. 129. The calculation puts the volume at 13.21 Å³ per atom. The calculation puts the energy above the most stable polymorph in this dataset at 0.272 eV per atom.

Lattice parameters (Å, degrees): 4.6574 4.6574 4.8730 90.00 90.00 90.00
Positions (direct):
N (0.7500, 0.7500, 0.4214)
N (0.2500, 0.2500, 0.5786)
O (0.7500, 0.2500, 0.0000)
O (0.2500, 0.7500, 0.0000)
Pd (0.2500, 0.2500, 0.0141)
Pd (0.7500, 0.7500, 0.9859)
Tl (0.7500, 0.2500, 0.5000)
Tl (0.2500, 0.7500, 0.5000)

***

Record 2
VASP calculation (PBE) on a geometry-optimized TlPdNO structure.

Properties
As for the space-group type: Pca2_1, No. 29. The calculation puts the volume at 15.15 Å³ per atom. The calculation puts the energy above the most stable polymorph in this dataset at 0.000 eV per atom.

Lattice parameters (Å, degrees): 4.9158 5.8612 8.4157 90.00 90.00 90.00
Positions (direct):
N (0.6529, 0.1356, 0.1373)
N (0.1529, 0.3644, 0.1373)
N (0.6529, 0.6356, 0.8627)
N (0.1529, 0.8644, 0.8627)
O (0.5385, 0.5889, 0.3949)
O (0.0385, 0.9111, 0.3949)
O (0.5385, 0.0889, 0.6051)
O (0.0385, 0.4111, 0.6051)
Pd (0.0110, 0.0650, 0.0404)
Pd (0.5110, 0.4350, 0.0404)
Pd (0.0110, 0.5650, 0.9596)
Pd (0.5110, 0.9350, 0.9596)
Tl (0.0000, 0.5291, 0.3546)
Tl (0.5000, 0.9709, 0.3546)
Tl (0.0000, 0.0291, 0.6454)
Tl (0.5000, 0.4709, 0.6454)